DFT (PBE) results for a relaxed LaTm4Hg5 crystal.

Geometry as POSCAR:
```
LaTm4Hg5
1.0
3.694 0.000 0.000
0.000 3.694 0.000
0.000 0.000 18.864
La Tm Hg
1 4 5
Direct
0.000 0.000 0.000
0.000 0.000 0.209
0.000 0.000 0.404
0.000 0.000 0.596
0.000 0.000 0.791
0.500 0.500 0.117
0.500 0.500 0.306
0.500 0.500 0.500
0.500 0.500 0.694
0.500 0.500 0.883
```

Calculated values
- volume (Å³/f.u.) = 257
- DOS at the Fermi energy (states/eV per cell) = 6.9
- E_form (eV/atom) = -0.48
- final energy (eV per atom) = -2.915
- space group = P4/mmm (123)